[1]
First-principles (PBE-GGA) data for crystalline K2SbRu at its relaxed geometry, as listed in Alexandria via LeMat-Bulk.

Computed properties:
The symmetry is No. 12. As for the formation energy from raw total energies: 586 meV per atom. As for the crystal system: monoclinic.

abc: 6.174 6.174 3.496
angles: 89.69 89.69 127.05
Atoms (fractional coordinates):
K1 0.000 0.000 0.000
K2 0.500 0.500 0.000
Ru1 0.500 0.000 0.500
Sb1 0.000 0.500 0.500


[2]
First-principles (PBE-GGA) data for crystalline TcPt2Br at its relaxed geometry, as listed in Alexandria via LeMat-Bulk.

Computed properties:
The symmetry is No. 123. As for the formation energy from raw total energies: 290 meV per atom. As for the crystal system: tetragonal.

abc: 2.851 2.849 8.707
angles: 90.00 90.00 90.00
Atoms (fractional coordinates):
Br1 0.500 0.500 0.750
Tc1 0.500 0.500 0.250
Pt1 0.000 0.000 0.042
Pt2 0.000 0.000 0.458


[3]
First-principles (PBE-GGA) data for crystalline Nd7HoTm3 at its relaxed geometry, as listed in Alexandria via LeMat-Bulk.

Computed properties:
The symmetry is No. 15. The formation energy is 0.1835 eV per atom. As for the crystal system: monoclinic.

abc: 10.267 10.266 12.596
angles: 114.67 65.33 139.09
Atoms (fractional coordinates):
Nd1 0.164 0.848 0.227
Nd2 0.152 0.836 0.727
Nd3 0.087 0.420 0.525
Nd4 0.084 0.420 0.028
Nd5 0.580 0.913 0.025
Nd6 0.580 0.916 0.528
Nd7 0.289 0.289 0.750
Nd8 0.711 0.711 0.250
Nd9 0.420 0.087 0.975
Nd10 0.420 0.084 0.472
Nd11 0.916 0.580 0.972
Nd12 0.913 0.580 0.475
Nd13 0.848 0.164 0.273
Nd14 0.836 0.152 0.773
Ho1 0.500 0.500 0.000
Ho2 0.500 0.500 0.500
Tm1 0.325 0.668 0.774
Tm2 0.000 0.000 0.000
Tm3 0.000 0.000 0.500
Tm4 0.332 0.675 0.274
Tm5 0.668 0.325 0.726
Tm6 0.675 0.332 0.226


| no. | DOS(E_F) (states/eV/atom) |
| --- | --- |
| 1 | 0.65 |
| 2 | 0.76 |
| 3 | 1.49 |